No. 1
Entry from Alexandria: HfTiGaNi after structural relaxation (PBE).

Geometry as CIF:
```
data_HfTiGaNi
_chemical_formula_sum 'Hf4 Ti4 Ga4 Ni4'
_cell_length_a 6.374
_cell_length_b 6.374
_cell_length_c 6.374
_cell_angle_alpha 90.00
_cell_angle_beta 90.00
_cell_angle_gamma 90.00
_space_group_name_H-M_alt 'F -4 3 m'
_space_group_IT_number 216
_space_group_name_Hall 'F -4 2 3'
loop_
_atom_site_label
_atom_site_fract_x
_atom_site_fract_y
_atom_site_fract_z
_atom_site_occupancy
Hf1 0.000 0.000 0.000 1
Ti1 0.000 0.000 0.500 1
Ga1 0.250 0.250 0.250 1
Ni1 0.250 0.250 0.750 1
```


No. 2
Entry from Alexandria: TmHfGaNi after structural relaxation (PBE).

Geometry as CIF:
```
data_TmHfGaNi
_chemical_formula_sum 'Tm4 Hf4 Ga4 Ni4'
_cell_length_a 6.698
_cell_length_b 6.698
_cell_length_c 6.698
_cell_angle_alpha 90.00
_cell_angle_beta 90.00
_cell_angle_gamma 90.00
_space_group_name_H-M_alt 'F -4 3 m'
_space_group_IT_number 216
_space_group_name_Hall 'F -4 2 3'
loop_
_atom_site_label
_atom_site_fract_x
_atom_site_fract_y
_atom_site_fract_z
_atom_site_occupancy
Tm1 0.000 0.000 0.000 1
Hf1 0.000 0.000 0.500 1
Ga1 0.250 0.250 0.250 1
Ni1 0.250 0.250 0.750 1
```


Across the entries above, electronic total energy takes the values -0.25716; -0.22647 Ha/atom, respectively.
Across the entries above, formation energy takes the values -1.33; -1.42 eV per formula unit, respectively.
Across the entries above, D(E_F) takes the values 13.40; 16.40 states/eV per cell, respectively.